Computed, not measured: Sr2CaAg2 at its PBEsol-relaxed geometry at the SCAN level of DFT.

Output
Fermi-level density of states ... 0.703 states/eV per atom
Energy relative to the elements ... 0.08 eV/atom
Space-group type ... I4/mmm

Unit cell a=5.6582 b=5.6582 c=6.8805 alpha=114.28 beta=114.28 gamma=90.00
Last column: nearest neighbours and their distance in Å.
Fractional coordinates of all 5 atoms:
Sr 0.6579 0.6579 0.3158  4 Ag 3.01
Sr 0.3421 0.3421 0.6842  4 Ag 3.01
Ca 0.0000 0.0000 0.0000  2 Sr 3.83, 8 Ag 3.98
Ag 0.2500 0.7500 0.5000  4 Sr 3.01
Ag 0.7500 0.2500 0.5000  4 Sr 3.01